(1)
Density functional theory data (GGA-PBE) for a geometry-optimized BaBeMo3 structure.

```
5
Lattice="-3.293 2.601 1.815 1.209 -1.390 4.185 2.932 3.494 0.314" Properties=species:S:1:pos:R:3 pbc="T T T"
Mo -1.647 1.300 0.907
Mo 1.466 1.747 0.157
Mo 0.604 -0.695 2.092
Ba 0.424 2.353 3.157
Be 0.000 0.000 0.000
```

For the total moment, the calculation gives 0.000 μB/f.u. The calculation puts the energy at -6.264 eV/atom. The calculation puts the density of states at the Fermi level at 6.8 states/eV/cell.

***

(2)
Density functional theory data (GGA-PBE) for a geometry-optimized LiAlSi3 structure.

```
5
Lattice="-2.687 2.523 -3.060 -3.776 -2.756 1.044 -1.211 2.998 3.534" Properties=species:S:1:pos:R:3 pbc="T T T"
Si -1.888 -1.378 0.522
Si -0.606 1.499 1.767
Si -1.343 1.261 -1.530
Al 0.000 0.000 0.000
Li -3.837 1.382 0.759
```

For the total moment, the calculation gives 0.000 μB/f.u. The calculation puts the energy at -3.638 eV/atom. The calculation puts the density of states at the Fermi level at 2.7 states/eV/cell.

***

(3)
Density functional theory data (GGA-PBE) for a geometry-optimized PrSmTlAg structure.

```
4
Lattice="-1.256 3.114 1.668 -2.963 -1.892 1.302 4.093 -1.877 6.588" Properties=species:S:1:pos:R:3 pbc="T T T"
Pr 3.458 -1.586 5.566
Tl -1.639 0.395 2.242
Sm 1.527 -0.701 2.458
Ag 0.326 -0.506 5.404
```

For the total moment, the calculation gives 0.142 μB/f.u. The calculation puts the energy at -3.998 eV/atom. The calculation puts the density of states at the Fermi level at 4.4 states/eV/cell.

***

(4)
Density functional theory data (GGA-PBE) for a geometry-optimized Ac2InAg4Hg3 structure.

```
10
Lattice="-3.612 2.690 -0.008 -1.355 -1.808 3.896 6.571 8.841 6.389" Properties=species:S:1:pos:R:3 pbc="T T T"
Hg 0.236 0.325 2.836
Hg 3.852 8.957 5.497
Hg 3.286 4.420 3.195
Ag 1.676 2.262 4.236
Ag -2.483 0.441 1.944
Ag 0.000 0.000 0.000
Ag 2.412 7.020 4.097
Ac 4.267 5.748 6.755
Ac -0.179 3.534 1.578
In 0.802 4.861 5.139
```

For the total moment, the calculation gives 0.000 μB/f.u. The calculation puts the energy at -2.581 eV/atom. The calculation puts the density of states at the Fermi level at 5.1 states/eV/cell.

***

(5)
Density functional theory data (GGA-PBE) for a geometry-optimized PmTh6Sc8 structure.

```
15
Lattice="-7.773 3.067 -3.914 -8.010 -4.256 1.695 -6.161 3.098 3.785" Properties=species:S:1:pos:R:3 pbc="T T T"
Sc -16.398 1.196 0.869
Sc -14.250 -0.356 2.641
Sc -5.547 0.713 0.697
Sc -10.479 -2.730 2.229
Sc -11.466 4.639 -0.664
Sc -14.197 1.208 -1.551
Sc -7.747 0.701 3.117
Sc -7.695 2.265 -1.075
Th -13.016 2.424 1.249
Th -11.067 0.320 3.261
Th -8.928 -0.515 0.317
Th -10.877 1.589 -1.695
Th -12.380 -1.053 0.047
Th -9.565 2.962 1.519
Pm 0.000 0.000 0.000
```

For the total moment, the calculation gives 0.000 μB/f.u. The calculation puts the energy at -6.469 eV/atom. The calculation puts the density of states at the Fermi level at 21.9 states/eV/cell.

***

(6)
Density functional theory data (GGA-PBE) for a geometry-optimized NdMnC structure.

```
6
Lattice="-1.868 0.893 -2.764 -0.183 -3.217 1.242 -6.440 2.337 5.106" Properties=species:S:1:pos:R:3 pbc="T T T"
C -3.121 -1.569 2.682
C -7.465 2.342 2.563
Mn -6.342 -0.398 5.234
Mn -4.244 1.172 0.012
Nd -5.293 0.387 2.623
Nd -2.073 -0.782 0.069
```

For the total moment, the calculation gives 0.001 μB/f.u. The calculation puts the energy at -7.630 eV/atom. The calculation puts the density of states at the Fermi level at 4.5 states/eV/cell.

***

(7)
Density functional theory data (GGA-PBE) for a geometry-optimized HgBTeI2 structure.

```
5
Lattice="5.912 0.000 0.000 0.000 5.912 0.000 0.000 0.000 5.670" Properties=species:S:1:pos:R:3 pbc="T T T"
Te 0.000 0.000 2.835
I 0.000 2.956 0.000
I 2.956 0.000 0.000
Hg 0.000 0.000 0.000
B 2.956 2.956 2.835
```

For the total moment, the calculation gives 0.000 μB/f.u. The calculation puts the energy at -1.411 eV/atom. The calculation puts the density of states at the Fermi level at 3.3 states/eV/cell.

***

(8)
Density functional theory data (GGA-PBE) for a geometry-optimized Ba2CuAsRh structure.

```
5
Lattice="-5.594 0.628 -2.361 1.245 -2.595 -3.640 -1.813 -5.021 2.959" Properties=species:S:1:pos:R:3 pbc="T T T"
Ba -0.906 -2.511 1.480
Ba -2.797 0.314 -1.181
Cu -3.081 -3.494 -1.521
Rh 0.000 0.000 0.000
As 0.623 -1.297 -1.820
```

For the total moment, the calculation gives 0.000 μB/f.u. The calculation puts the energy at -4.266 eV/atom. The calculation puts the density of states at the Fermi level at 2.8 states/eV/cell.

***

What is the energy in the third record?
-3.998 eV/atom